# ZrReBIr2, optimized geometry, DFT PBE
data_ZrReBIr2
_cell_length_a 4.1332
_cell_length_b 4.1332
_cell_length_c 4.2673
_cell_angle_alpha 90.00
_cell_angle_beta 90.00
_cell_angle_gamma 90.00
_symmetry_space_group_name_H-M 'P 4/m m m'
_symmetry_Int_Tables_number 123
_symmetry_space_group_name_Hall '-P 4 2'
loop_
_atom_site_label
_atom_site_type_symbol
_atom_site_fract_x
_atom_site_fract_y
_atom_site_fract_z
Zr1 Zr 0.0000 0.0000 0.0000
Re1 Re 0.5000 0.5000 0.0000
B1 B 0.5000 0.5000 0.5000
Ir1 Ir 0.0000 0.5000 0.5000
# Total DFT energy (no corrections)   -9.541 eV/atom
# Fermi-level density of states   0.373 states/eV per atom
# ΔH_f (0 K)   -0.46 eV/atom